# PBE RbBa2TbCl8, relaxed
# - Formation energy without anion corrections: -2332 meV per atom
# - Magnetic moment: 0.2 μB per cell
data_RbBa2TbCl8
_chemical_formula_sum 'Rb1 Ba2 Tb1 Cl8'
_cell_length_a 6.831
_cell_length_b 9.607
_cell_length_c 6.940
_cell_angle_alpha 90.00
_cell_angle_beta 90.10
_cell_angle_gamma 90.00
_space_group_name_H-M_alt 'P 1 2/m 1'
_space_group_IT_number 10
_space_group_name_Hall '-P 2y'
loop_
_atom_site_label
_atom_site_type_symbol
_atom_site_fract_x
_atom_site_fract_y
_atom_site_fract_z
Rb1 Rb 0.000 0.000 0.000
Ba1 Ba 0.500 0.257 0.500
Tb1 Tb 0.000 0.500 0.000
Cl1 Cl 0.208 0.298 0.837
Cl2 Cl 0.256 0.500 0.301
Cl3 Cl 0.279 0.000 0.365

---

# PBE Ca4Ag5, relaxed
# - Formation energy: -0.17 eV per atom
# - Excess energy over the best structure of this formula in the dataset: 40 meV/atom
# - Magnetic moment: 0.0 μB per cell
data_Ca4Ag5
_chemical_formula_sum 'Ca8 Ag10'
_cell_length_a 9.771
_cell_length_b 9.771
_cell_length_c 4.818
_cell_angle_alpha 90.00
_cell_angle_beta 90.00
_cell_angle_gamma 90.00
_space_group_name_H-M_alt 'I 4/m m m'
_space_group_IT_number 139
_space_group_name_Hall '-I 4 2'
loop_
_atom_site_label
_atom_site_type_symbol
_atom_site_fract_x
_atom_site_fract_y
_atom_site_fract_z
Ca1 Ca 0.000 0.299 0.000
Ag1 Ag 0.000 0.000 0.000
Ag2 Ag 0.155 0.155 0.500

---

# PBE B5C7, relaxed
# - Formation energy: 0.42 eV per atom
# - Excess energy over the best structure of this formula in the dataset: 161 meV/atom
# - Magnetic moment: 0.0 μB per cell
data_B5C7
_chemical_formula_sum 'B5 C7'
_cell_length_a 4.592
_cell_length_b 4.595
_cell_length_c 4.622
_cell_angle_alpha 61.18
_cell_angle_beta 81.92
_cell_angle_gamma 71.34
_space_group_name_H-M_alt 'P 1'
_space_group_IT_number 1
_space_group_name_Hall 'P 1'
loop_
_atom_site_label
_atom_site_type_symbol
_atom_site_fract_x
_atom_site_fract_y
_atom_site_fract_z
B1 B 0.000 0.000 0.000
B2 B 0.080 0.642 0.674
B3 B 0.474 0.495 0.965
B4 B 0.569 0.835 0.640
B5 B 0.650 0.462 0.377
C1 C 0.014 0.324 0.339
C2 C 0.125 0.608 0.027
C3 C 0.133 0.282 0.662
C4 C 0.134 0.969 0.332
C5 C 0.495 0.181 0.670
C6 C 0.497 0.856 0.303
C7 C 0.625 0.118 0.998

---

# PBE DyYEr5Tm2, relaxed
# - Formation energy: 0.17 eV per atom
# - Magnetic moment: 0.0 μB per cell
data_DyYEr5Tm2
_chemical_formula_sum 'Dy4 Y4 Er20 Tm8'
_cell_length_a 5.542
_cell_length_b 19.686
_cell_length_c 10.462
_cell_angle_alpha 90.00
_cell_angle_beta 90.00
_cell_angle_gamma 90.00
_space_group_name_H-M_alt 'C m c 21'
_space_group_IT_number 36
_space_group_name_Hall 'C 2c -2'
loop_
_atom_site_label
_atom_site_type_symbol
_atom_site_fract_x
_atom_site_fract_y
_atom_site_fract_z
Dy1 Dy 0.000 0.200 0.000
Y1 Y 0.000 0.413 0.442
Er1 Er 0.000 0.018 0.013
Er2 Er 0.000 0.281 0.297
Er3 Er 0.000 0.300 0.697
Er4 Er 0.000 0.390 0.012
Er5 Er 0.000 0.478 0.726
Tm1 Tm 0.000 0.110 0.726
Tm2 Tm 0.000 0.113 0.305

---

# PBE Sc2ReSb, relaxed
# - Formation energy without anion corrections: -232 meV per atom
# - Magnetic moment: 0.0 μB per cell
data_Sc2ReSb
_chemical_formula_sum 'Sc4 Re2 Sb2'
_cell_length_a 4.208
_cell_length_b 4.569
_cell_length_c 8.006
_cell_angle_alpha 90.00
_cell_angle_beta 90.00
_cell_angle_gamma 90.00
_space_group_name_H-M_alt 'I m m m'
_space_group_IT_number 71
_space_group_name_Hall '-I 2 2'
loop_
_atom_site_label
_atom_site_type_symbol
_atom_site_fract_x
_atom_site_fract_y
_atom_site_fract_z
Sc1 Sc 0.000 0.000 0.235
Re1 Re 0.000 0.500 0.500
Sb1 Sb 0.000 0.500 0.000

---

# PBE MgTl3Au, relaxed
# - Formation energy: 0.23 eV per atom
# - Excess energy over the best structure of this formula in the dataset: 0 meV/atom
# - Magnetic moment: 0.0 μB per cell
data_MgTl3Au
_chemical_formula_sum 'Mg1 Tl3 Au1'
_cell_length_a 5.560
_cell_length_b 5.560
_cell_length_c 5.560
_cell_angle_alpha 90.00
_cell_angle_beta 90.00
_cell_angle_gamma 90.00
_space_group_name_H-M_alt 'P m -3 m'
_space_group_IT_number 221
_space_group_name_Hall '-P 4 2 3'
loop_
_atom_site_label
_atom_site_type_symbol
_atom_site_fract_x
_atom_site_fract_y
_atom_site_fract_z
Mg1 Mg 0.000 0.000 0.000
Tl1 Tl 0.000 0.500 0.500
Au1 Au 0.500 0.500 0.500

---

# PBE Ba2GaCl, relaxed
# - Excess energy over the best structure of this formula in the dataset: 0 meV/atom
# - Formation energy without anion corrections: -1062 meV per atom
# - Magnetic moment: 0.0 μB per cell
data_Ba2GaCl
_chemical_formula_sum 'Ba8 Ga4 Cl4'
_cell_length_a 5.010
_cell_length_b 25.217
_cell_length_c 4.539
_cell_angle_alpha 90.00
_cell_angle_beta 90.00
_cell_angle_gamma 90.00
_space_group_name_H-M_alt 'C m c m'
_space_group_IT_number 63
_space_group_name_Hall '-C 2c 2'
loop_
_atom_site_label
_atom_site_type_symbol
_atom_site_fract_x
_atom_site_fract_y
_atom_site_fract_z
Ba1 Ba 0.000 0.064 0.250
Ba2 Ba 0.000 0.323 0.250
Ga1 Ga 0.000 0.467 0.250
Cl1 Cl 0.000 0.194 0.250

---

# PBE Sm5ScHg6, relaxed
# - Formation energy: -0.45 eV per atom
# - Magnetic moment: 3.9 μB per cell
data_Sm5ScHg6
_chemical_formula_sum 'Sm10 Sc2 Hg12'
_cell_length_a 16.669
_cell_length_b 7.593
_cell_length_c 5.262
_cell_angle_alpha 90.00
_cell_angle_beta 108.15
_cell_angle_gamma 90.00
_space_group_name_H-M_alt 'C 1 2/m 1'
_space_group_IT_number 12
_space_group_name_Hall '-C 2y'
loop_
_atom_site_label
_atom_site_type_symbol
_atom_site_fract_x
_atom_site_fract_y
_atom_site_fract_z
Sm1 Sm 0.000 0.000 0.000
Sm2 Sm 0.163 0.000 0.663
Sm3 Sm 0.172 0.500 0.672
Sc1 Sc 0.000 0.500 0.000
Hg1 Hg 0.000 0.274 0.500
Hg2 Hg 0.160 0.264 0.160

---

- Which of these has the highest magnetic moment?
  Sm5ScHg6